1.
Entry from the Alexandria database: an optimized crystal structure of Np3NiAg3Se8 (PBE).

Cell lengths 8.0053, 8.0053, 8.0053 Å; angles 61.06, 61.06, 61.06 degrees
Element x y z (fractional)
Np 0.0000 0.5000 0.5000
Np 0.5000 0.0000 0.5000
Np 0.5000 0.5000 0.0000
Ni 0.0000 0.0000 0.0000
Ag 0.0000 0.0000 0.5000
Ag 0.0000 0.5000 0.0000
Ag 0.5000 0.0000 0.0000
Se 0.2326 0.2326 0.7639
Se 0.2326 0.7639 0.2326
Se 0.2361 0.7674 0.7674
Se 0.2508 0.2508 0.2508
Se 0.7492 0.7492 0.7492
Se 0.7639 0.2326 0.2326
Se 0.7674 0.2361 0.7674
Se 0.7674 0.7674 0.2361

Properties
Its formation energy (no corrections) is -573 meV per atom.

2.
Entry from the Alexandria database: an optimized crystal structure of SrReN3 (PBE).

Cell lengths 7.4283, 7.4283, 7.4283 Å; angles 60.00, 60.00, 60.00 degrees
Element x y z (fractional)
Sr 0.0000 0.0000 0.0000
Sr 0.0000 0.0000 0.5000
Sr 0.0000 0.5000 0.0000
Sr 0.5000 0.0000 0.0000
Re 0.0000 0.5000 0.5000
Re 0.5000 0.0000 0.5000
Re 0.5000 0.5000 0.0000
Re 0.5000 0.5000 0.5000
N 0.1865 0.1865 0.5635
N 0.1865 0.5635 0.1865
N 0.1865 0.5635 0.5635
N 0.4365 0.4365 0.8135
N 0.4365 0.8135 0.4365
N 0.4365 0.8135 0.8135
N 0.5635 0.1865 0.1865
N 0.5635 0.1865 0.5635
N 0.5635 0.5635 0.1865
N 0.8135 0.4365 0.4365
N 0.8135 0.4365 0.8135
N 0.8135 0.8135 0.4365

Properties
Its formation energy (no corrections) is -25 meV per atom.

3.
Entry from the Alexandria database: an optimized crystal structure of Pr2GaSn (PBE).

Cell lengths 3.9936, 3.9936, 26.6304 Å; angles 90.00, 90.00, 120.00 degrees
Element x y z (fractional)
Pr 0.0000 0.0000 0.2458
Pr 0.0000 0.0000 0.7542
Pr 0.3333 0.6667 0.4208
Pr 0.3333 0.6667 0.9125
Pr 0.6667 0.3333 0.0875
Pr 0.6667 0.3333 0.5792
Ga 0.0000 0.0000 0.5000
Ga 0.3333 0.6667 0.1667
Ga 0.6667 0.3333 0.8333
Sn 0.0000 0.0000 0.0000
Sn 0.3333 0.6667 0.6667
Sn 0.6667 0.3333 0.3333

Properties
Its energy relative to the elements is -0.439 eV per atom.

4.
Entry from the Alexandria database: an optimized crystal structure of AgSn2Bi2 (PBE).

Cell lengths 7.1280, 7.1280, 5.7918 Å; angles 90.00, 90.00, 90.00 degrees
Element x y z (fractional)
Ag 0.0000 0.0000 0.0000
Ag 0.5000 0.5000 0.0000
Sn 0.1434 0.3566 0.0000
Sn 0.3566 0.8566 0.0000
Sn 0.6434 0.1434 0.0000
Sn 0.8566 0.6434 0.0000
Bi 0.2275 0.7275 0.5000
Bi 0.2725 0.2275 0.5000
Bi 0.7275 0.7725 0.5000
Bi 0.7725 0.2725 0.5000

Properties
Its energy relative to the elements is 0.143 eV per atom.

5.
Entry from the Alexandria database: an optimized crystal structure of Al6Ag5 (PBE).

Cell lengths 4.7947, 6.4654, 6.5287 Å; angles 104.81, 102.23, 96.18 degrees
Element x y z (fractional)
Al 0.0000 0.0000 0.0000
Al 0.0906 0.8108 0.3604
Al 0.1922 0.6383 0.7386
Al 0.3654 0.2686 0.4654
Al 0.7251 0.5331 0.9134
Al 0.8236 0.3605 0.2777
Ag 0.2716 0.4520 0.1027
Ag 0.4563 0.0895 0.8238
Ag 0.5473 0.9054 0.1837
Ag 0.6484 0.7097 0.5537
Ag 0.9076 0.1826 0.6264

Properties
Its energy relative to the elements is -0.003 eV per atom.

6.
Entry from the Alexandria database: an optimized crystal structure of Ca3ThPa3N8 (PBE).

Cell lengths 7.0651, 7.0651, 7.0651 Å; angles 61.29, 61.29, 61.29 degrees
Element x y z (fractional)
Ca 0.0000 0.5000 0.5000
Ca 0.5000 0.0000 0.5000
Ca 0.5000 0.5000 0.0000
Th 0.5000 0.5000 0.5000
Pa 0.0000 0.0000 0.5000
Pa 0.0000 0.5000 0.0000
Pa 0.5000 0.0000 0.0000
N 0.2174 0.7351 0.7351
N 0.2420 0.2420 0.2420
N 0.2649 0.2649 0.7826
N 0.2649 0.7826 0.2649
N 0.7351 0.2174 0.7351
N 0.7351 0.7351 0.2174
N 0.7580 0.7580 0.7580
N 0.7826 0.2649 0.2649

Properties
Its formation energy (no corrections) is -1363 meV per atom.

7.
Entry from the Alexandria database: an optimized crystal structure of SmHoEr3Th (PBE).

Cell lengths 10.5964, 3.5525, 10.6173 Å; angles 90.00, 109.16, 90.00 degrees
Element x y z (fractional)
Sm 0.2085 0.2500 0.3742
Sm 0.7915 0.7500 0.6258
Ho 0.1259 0.7500 0.6284
Ho 0.8741 0.2500 0.3716
Er 0.0428 0.2500 0.8752
Er 0.2934 0.7500 0.1204
Er 0.4588 0.7500 0.6286
Er 0.5412 0.2500 0.3714
Er 0.7066 0.2500 0.8796
Er 0.9572 0.7500 0.1248
Th 0.3766 0.2500 0.8748
Th 0.6234 0.7500 0.1252

Properties
Its energy relative to the elements is 0.022 eV per atom.

8.
Entry from the Alexandria database: an optimized crystal structure of Y2GaGe2Ir5 (PBE).

Cell lengths 9.7115, 9.7115, 3.6215 Å; angles 90.00, 90.00, 90.00 degrees
Element x y z (fractional)
Y 0.1740 0.3260 0.0000
Y 0.3260 0.8260 0.0000
Y 0.6740 0.1740 0.0000
Y 0.8260 0.6740 0.0000
Ga 0.0000 0.0000 0.0000
Ga 0.5000 0.5000 0.0000
Ge 0.1258 0.6258 0.0000
Ge 0.3742 0.1258 0.0000
Ge 0.6258 0.8742 0.0000
Ge 0.8742 0.3742 0.0000
Ir 0.0000 0.5000 0.5000
Ir 0.0644 0.7953 0.5000
Ir 0.2047 0.0644 0.5000
Ir 0.2953 0.5644 0.5000
Ir 0.4356 0.2953 0.5000
Ir 0.5000 0.0000 0.5000
Ir 0.5644 0.7047 0.5000
Ir 0.7047 0.4356 0.5000
Ir 0.7953 0.9356 0.5000
Ir 0.9356 0.2047 0.5000

Properties
Its energy relative to the elements is -0.614 eV per atom.

9.
Entry from the Alexandria database: an optimized crystal structure of Tb2ErRu2 (PBE).

Cell lengths 5.9957, 5.9957, 9.8372 Å; angles 90.00, 90.00, 138.62 degrees
Element x y z (fractional)
Tb 0.0943 0.9057 0.5000
Tb 0.3532 0.6468 0.6865
Tb 0.6468 0.3532 0.1865
Tb 0.9057 0.0943 0.0000
Er 0.3539 0.6461 0.3141
Er 0.6461 0.3539 0.8141
Ru 0.0015 0.9985 0.7509
Ru 0.1920 0.8080 0.9979
Ru 0.8080 0.1920 0.4979
Ru 0.9985 0.0015 0.2509

Properties
Its energy relative to the elements is -0.276 eV per atom.

10.
Entry from the Alexandria database: an optimized crystal structure of Mn2TlRu (PBE).

Cell lengths 2.9896, 2.9896, 26.2996 Å; angles 90.00, 90.00, 120.00 degrees
Element x y z (fractional)
Mn 0.0000 0.0000 0.2403
Mn 0.0000 0.0000 0.7597
Mn 0.3333 0.6667 0.4263
Mn 0.3333 0.6667 0.9070
Mn 0.6667 0.3333 0.0930
Mn 0.6667 0.3333 0.5737
Tl 0.0000 0.0000 0.0000
Tl 0.3333 0.6667 0.6667
Tl 0.6667 0.3333 0.3333
Ru 0.0000 0.0000 0.5000
Ru 0.3333 0.6667 0.1667
Ru 0.6667 0.3333 0.8333

Properties
Its energy relative to the elements is 0.503 eV per atom.

11.
Entry from the Alexandria database: an optimized crystal structure of SrCrS2N (PBE).

Cell lengths 4.9028, 4.9028, 3.6532 Å; angles 90.00, 90.00, 90.00 degrees
Element x y z (fractional)
Sr 0.0000 0.0000 0.0000
Cr 0.5000 0.5000 0.5000
S 0.0000 0.5000 0.5000
S 0.5000 0.0000 0.5000
N 0.5000 0.5000 0.0000

Properties
Its formation energy (no corrections) is -775 meV per atom.

12.
Entry from the Alexandria database: an optimized crystal structure of CsIr2SBr (PBE).

Cell lengths 4.7035, 4.7035, 7.0808 Å; angles 90.00, 90.00, 90.00 degrees
Element x y z (fractional)
Cs 0.0000 0.0000 0.0000
Ir 0.0000 0.5000 0.5000
Ir 0.5000 0.0000 0.5000
S 0.5000 0.5000 0.0000
Br 0.0000 0.0000 0.5000

Properties
Its formation energy (no corrections) is 1374 meV per atom.

The following VASP energy values (in eV per atom) correspond, in order, to the records above: -5.975; -7.847; -4.586; -3.581; -3.341; -8.597; -5.045; -7.563; -6.751; -6.993; -6.352; -3.501.